[1]
Computed, not measured: a geometry-optimized AlIn7Hg12 structure at the PBE level of DFT.

abc: 9.3261 9.3261 9.3261
angles: 112.70 112.70 112.70
Last column: nearest neighbours and their distance in Å.
Element x y z (fractional)
Al: 0.0000 0.0000 0.0000  6 Hg 2.76
In: 0.0065 0.4080 0.8179  6 Hg 3.11-3.32, 3 In 3.23-3.24
In: 0.1821 0.9935 0.5920  6 Hg 3.11-3.32, 3 In 3.23-3.24
In: 0.4080 0.8179 0.0065  6 Hg 3.11-3.32, 3 In 3.23-3.24
In: 0.5000 0.5000 0.5000  12 Hg 3.38-3.45
In: 0.5920 0.1821 0.9935  6 Hg 3.11-3.32, 3 In 3.23-3.24
In: 0.8179 0.0065 0.4080  6 Hg 3.11-3.32, 3 In 3.23-3.24
In: 0.9935 0.5920 0.1821  6 Hg 3.11-3.32, 3 In 3.23-3.24
Hg: 0.9995 0.2739 0.2583  1 Al 2.76, 1 Hg 3.07
Hg: 0.0005 0.7261 0.7417  1 Al 2.76, 1 Hg 3.07
Hg: 0.2583 0.9995 0.2739  1 Al 2.76, 1 Hg 3.07
Hg: 0.2739 0.2583 0.9995  1 Al 2.76, 1 Hg 3.07
Hg: 0.2748 0.3929 0.6944  4 Hg 3.07-3.43, 5 In 3.11-3.38
Hg: 0.3056 0.7252 0.6071  4 Hg 3.07-3.43, 5 In 3.11-3.38
Hg: 0.3929 0.6944 0.2748  4 Hg 3.07-3.43, 5 In 3.11-3.38
Hg: 0.6071 0.3056 0.7252  4 Hg 3.07-3.43, 5 In 3.11-3.38
Hg: 0.6944 0.2748 0.3929  4 Hg 3.07-3.43, 5 In 3.11-3.38
Hg: 0.7252 0.6071 0.3056  4 Hg 3.07-3.43, 5 In 3.11-3.38
Hg: 0.7261 0.7417 0.0005  1 Al 2.76, 1 Hg 3.07
Hg: 0.7417 0.0005 0.7261  1 Al 2.76, 1 Hg 3.07


[2]
Computed, not measured: a geometry-optimized Al2InHg structure at the PBE level of DFT.

abc: 3.2571 3.2571 8.0612
angles: 90.00 90.00 90.00
Last column: nearest neighbours and their distance in Å.
Element x y z (fractional)
Al: 0.0000 0.0000 0.0000  4 Al 2.81, 4 In 3.11
Al: 0.5000 0.5000 0.2002  4 Al 2.81, 4 Hg 3.01
In: 0.5000 0.5000 0.7410  4 Al 3.11, 4 In 3.26, 4 Hg 3.34
Hg: 0.0000 0.0000 0.4410  4 Al 3.01, 4 Hg 3.26, 4 In 3.34


[3]
Computed, not measured: a geometry-optimized AlIn12Hg6 structure at the PBE level of DFT.

abc: 8.1567 8.1567 8.1567
angles: 76.32 76.32 76.32
Last column: nearest neighbours and their distance in Å.
Element x y z (fractional)
Al: 0.0000 0.0000 0.0000  6 Hg 2.77
In: 0.1368 0.1368 0.4935  5 Hg 3.28-3.50, 7 In 3.36-3.60
In: 0.1368 0.4935 0.1368  5 Hg 3.28-3.50, 7 In 3.36-3.60
In: 0.1965 0.5217 0.5217  3 Hg 3.14-3.23, 7 In 3.28-3.41
In: 0.4783 0.4783 0.8035  3 Hg 3.14-3.23, 7 In 3.28-3.41
In: 0.4783 0.8035 0.4783  3 Hg 3.14-3.23, 7 In 3.28-3.41
In: 0.4935 0.1368 0.1368  5 Hg 3.28-3.50, 7 In 3.36-3.60
In: 0.5065 0.8632 0.8632  5 Hg 3.28-3.50, 7 In 3.36-3.60
In: 0.5217 0.1965 0.5217  3 Hg 3.14-3.23, 7 In 3.28-3.41
In: 0.5217 0.5217 0.1965  3 Hg 3.14-3.23, 7 In 3.28-3.41
In: 0.8035 0.4783 0.4783  3 Hg 3.14-3.23, 7 In 3.28-3.41
In: 0.8632 0.5065 0.8632  5 Hg 3.28-3.50, 7 In 3.36-3.60
In: 0.8632 0.8632 0.5065  5 Hg 3.28-3.50, 7 In 3.36-3.60
Hg: 0.1397 0.7750 0.7750  1 Al 2.77
Hg: 0.2250 0.2250 0.8603  1 Al 2.77
Hg: 0.2250 0.8603 0.2250  1 Al 2.77
Hg: 0.7750 0.1397 0.7750  1 Al 2.77
Hg: 0.7750 0.7750 0.1397  1 Al 2.77
Hg: 0.8603 0.2250 0.2250  1 Al 2.77


[4]
Computed, not measured: a geometry-optimized Al2In2Hg structure at the PBE level of DFT.

abc: 8.3183 8.3183 8.3183
angles: 152.61 152.61 39.12
Last column: nearest neighbours and their distance in Å.
Element x y z (fractional)
Al: 0.2500 0.7500 0.5000  4 Al 2.78, 4 In 3.02
Al: 0.7500 0.2500 0.5000  4 Al 2.78, 4 In 3.02
In: 0.1043 0.1043 0.0000  4 Al 3.02, 4 Hg 3.23, 1 In 3.27
In: 0.8957 0.8957 0.0000  4 Al 3.02, 4 Hg 3.23, 1 In 3.27
Hg: 0.5000 0.5000 0.0000  8 In 3.23

Summary:
energy above the lowest structure with this stoichiometry	35	meV/atom


[5]
Computed, not measured: a geometry-optimized AlInHg structure at the PBE level of DFT.

abc: 7.0549 5.7895 6.8792
angles: 90.00 90.00 90.00
Last column: nearest neighbours and their distance in Å.
Element x y z (fractional)
Al: 0.0000 0.0000 0.0000  4 Hg 2.84-2.93, 2 Al 2.89, 2 In 3.03
Al: 0.0000 0.5000 0.0000  4 Hg 2.84-2.93, 2 Al 2.89, 2 In 3.03
Al: 0.5000 0.0000 0.5000  4 Hg 2.84-2.93, 2 Al 2.89, 2 In 3.03
Al: 0.5000 0.5000 0.5000  4 Hg 2.84-2.93, 2 Al 2.89, 2 In 3.03
In: 0.0933 0.2500 0.3756  4 Al 3.03-3.33, 4 Hg 3.07-3.19
In: 0.4067 0.7500 0.8756  4 Al 3.03-3.33, 4 Hg 3.07-3.19
In: 0.5933 0.2500 0.1244  4 Al 3.03-3.33, 4 Hg 3.07-3.19
In: 0.9067 0.7500 0.6244  4 Al 3.03-3.33, 4 Hg 3.07-3.19
Hg: 0.2164 0.7500 0.2966  4 Al 2.84-2.93, 3 In 3.07-3.14
Hg: 0.2836 0.2500 0.7966  4 Al 2.84-2.93, 3 In 3.07-3.14
Hg: 0.7164 0.7500 0.2034  4 Al 2.84-2.93, 3 In 3.07-3.14
Hg: 0.7836 0.2500 0.7034  4 Al 2.84-2.93, 3 In 3.07-3.14


[6]
Computed, not measured: a geometry-optimized AlIn2Hg structure at the PBE level of DFT.

abc: 11.4153 11.4153 11.4153
angles: 158.45 158.45 30.66
Last column: nearest neighbours and their distance in Å.
Element x y z (fractional)
Al: 0.0000 0.0000 0.0000  4 Hg 3.02, 4 In 3.13
Al: 0.7500 0.2500 0.5000  4 Hg 3.02, 4 In 3.13
In: 0.1219 0.6250 0.9969  4 In 3.00-3.04, 2 Al 3.13, 2 Hg 3.14
In: 0.3750 0.3719 0.4969  4 In 3.00-3.04, 2 Al 3.13, 2 Hg 3.14
In: 0.6281 0.1250 0.0031  4 In 3.00-3.04, 2 Al 3.13, 2 Hg 3.14
In: 0.8750 0.8781 0.5031  4 In 3.00-3.04, 2 Al 3.13, 2 Hg 3.14
Hg: 0.2500 0.7500 0.5000  4 Al 3.02, 4 In 3.14
Hg: 0.5000 0.5000 0.0000  4 Al 3.02, 4 In 3.14

Summary:
energy above the lowest structure with this stoichiometry	68	meV/atom


Per-record electronic total energy, hartree per atom: -0.0472 -0.0920 -0.0730 -0.0914 -0.0792 -0.0816
Per-record density, g/cm³: 10.0 7.2 8.6 6.6 8.1 7.6
Per-record energy of formation, eV/atom: 0.043 0.129 0.036 0.165 0.107 0.161